1.
La4IrPt (GGA-PBE, relaxed); M_tot = 0.0000 μB/atom; calculated volume = 386.91 Å³ per cell; relative energy among the computed polymorphs = 0 meV/atom; ΔE_f = -0.72 eV/atom; uncorrected energy = -6.48 eV per atom; symmetry = P-1, No. 2
1.0
6.3587 -1.6560 4.0117
-1.7997 7.4225 0.9753
0.5597 -1.1855 8.7877
La Ir Pt
8 2 2
Direct
0.3361 0.8489 0.2566
0.6094 0.6418 0.7487
0.6639 0.1511 0.7434
0.3906 0.3582 0.2513
0.8412 0.8938 0.2654
0.1056 0.5927 0.7433
0.1588 0.1062 0.7346
0.8944 0.4073 0.2567
0.0000 0.0000 0.5000
0.5000 0.5000 0.5000
0.2327 0.7895 0.9779
0.7673 0.2105 0.0221

=====

2.
La2IrPt (GGA-PBE, relaxed); M_tot = 0.0000 μB/atom; calculated volume = 98.93 Å³ per cell; ΔE_f = -0.96 eV/atom; uncorrected energy = -7.15 eV per atom; symmetry = Amm2, No. 38
1.0
5.9233 -0.0056 -0.0054
4.5696 3.7688 -0.0054
0.0049 0.0017 4.4265
Ir Pt La
1 1 2
Direct
0.2831 0.2831 0.1248
0.4627 0.4627 0.6252
0.0153 0.0153 0.1252
0.7388 0.7388 0.6248

=====

3.
LaIr2Pt (GGA-PBE, relaxed); M_tot = 0.0000 μB/atom; calculated volume = 72.82 Å³ per cell; relative energy among the computed polymorphs = 216 meV/atom; ΔE_f = -0.12 eV/atom; uncorrected energy = -7.29 eV per atom; symmetry = C2/m, No. 12
1.0
5.6858 0.0030 0.0021
-2.7895 4.9545 0.0021
0.7417 1.2696 2.5854
Ir La Pt
2 1 1
Direct
0.0000 0.0000 0.0000
0.5000 0.5000 0.0000
0.5000 0.0000 0.5000
0.0000 0.5000 0.5000